No. 1
A relaxed BaEuHfZrO6 crystal. Source: the Alexandria database, functional PBE-GGA.

POSCAR file:
```
BaEuHfZrO6
1.0
0.000 4.196 4.196
4.196 0.000 4.196
4.196 4.196 0.000
Ba Eu Hf Zr O
1 1 1 1 6
Direct
0.000 0.000 0.000 Ba
0.500 0.500 0.500 Eu
0.250 0.250 0.250 Hf
0.750 0.750 0.750 Zr
0.002 0.002 0.498 O
0.002 0.498 0.002 O
0.002 0.498 0.498 O
0.498 0.002 0.002 O
0.498 0.002 0.498 O
0.498 0.498 0.002 O
```

uncorrected formation energy: -3250 meV per atom
space group: F-43m

***

No. 2
A relaxed Sc2MnV crystal. Source: the Alexandria database, functional PBE-GGA.

POSCAR file:
```
Sc2MnV
1.0
6.652 0.000 0.000
0.000 6.652 0.000
0.000 0.000 6.652
Sc Mn V
8 4 4
Direct
0.250 0.250 0.250 Sc
0.250 0.250 0.750 Sc
0.250 0.750 0.250 Sc
0.250 0.750 0.750 Sc
0.750 0.250 0.250 Sc
0.750 0.250 0.750 Sc
0.750 0.750 0.250 Sc
0.750 0.750 0.750 Sc
0.000 0.000 0.000 Mn
0.000 0.500 0.500 Mn
0.500 0.000 0.500 Mn
0.500 0.500 0.000 Mn
0.000 0.000 0.500 V
0.000 0.500 0.000 V
0.500 0.000 0.000 V
0.500 0.500 0.500 V
```

space group: Fm-3m
E_form: 94 kJ/mol of formula units

***

No. 3
A relaxed KCaTa2 crystal. Source: the Alexandria database, functional PBE-GGA.

POSCAR file:
```
KCaTa2
1.0
3.615 0.000 0.000
0.000 5.136 0.000
0.000 0.000 11.648
K Ca Ta
2 2 4
Direct
0.000 0.000 0.000 K
0.500 0.500 0.000 K
0.000 0.500 0.675 Ca
0.500 0.000 0.675 Ca
0.000 0.000 0.445 Ta
0.000 0.500 0.276 Ta
0.500 0.000 0.276 Ta
0.500 0.500 0.445 Ta
```

relative energy among the computed polymorphs: 0.098 eV/atom
space group: Cmm2
E_form: 273 kJ/mol of formula units